Crystalline MgIrSCl2 at its relaxed geometry. Source: Alexandria via LeMat-Bulk, functional PBE.

* uncorrected formation energy: 177 kJ/mol of formula units
* total magnetic moment: 2.4 μB/cell
* N(E_F): 1.74 states/eV per atom
* space-group type: P4/mmm, No. 123

Unit cell a=4.555 b=4.555 c=5.315 alpha=90.00 beta=90.00 gamma=90.00
Each line ends with the local moment (μB).
Positions (direct):
S (0.000, 0.000, 0.500)  0.05
Ir (0.500, 0.500, 0.500)  1.98
Mg (0.000, 0.000, 0.000)  0.00
Cl (0.000, 0.500, 0.000)  0.09
Cl (0.500, 0.000, 0.000)  0.09

---

Crystalline MgScIr2Cl at its relaxed geometry. Source: Alexandria via LeMat-Bulk, functional PBE.

* uncorrected formation energy: 315 kJ/mol of formula units
* total magnetic moment: 0.5 μB/cell
* N(E_F): 1.47 states/eV per atom
* space-group type: P4/mmm, No. 123

Unit cell a=4.701 b=4.701 c=4.585 alpha=90.00 beta=90.00 gamma=90.00
Each line ends with the local moment (μB).
Positions (direct):
Sc (0.500, 0.500, 0.500)  -0.04
Mg (0.000, 0.000, 0.000)  0.00
Ir (0.000, 0.500, 0.000)  0.24
Ir (0.500, 0.000, 0.000)  0.24
Cl (0.000, 0.000, 0.500)  0.06

---

Crystalline SrMgIr2Cl at its relaxed geometry. Source: Alexandria via LeMat-Bulk, functional PBE.

* uncorrected formation energy: 201 kJ/mol of formula units
* total magnetic moment: 1.4 μB/cell
* N(E_F): 1.78 states/eV per atom
* space-group type: P4/mmm, No. 123

Unit cell a=4.749 b=5.297 c=4.749 alpha=90.00 beta=90.00 gamma=90.00
Each line ends with the local moment (μB).
Positions (direct):
Sr (0.500, 0.500, 0.500)  -0.01
Mg (0.000, 0.000, 0.000)  -0.01
Ir (0.000, 0.000, 0.500)  0.64
Ir (0.500, 0.000, 0.000)  0.66
Cl (0.000, 0.500, 0.000)  0.03

---

Crystalline SrMgIrCl2 at its relaxed geometry. Source: Alexandria via LeMat-Bulk, functional PBE.

* uncorrected formation energy: -150 kJ/mol of formula units
* total magnetic moment: 0.0 μB/cell
* N(E_F): 0.31 states/eV per atom
* space-group type: P4/mmm, No. 123

Unit cell a=5.082 b=4.983 c=5.082 alpha=90.00 beta=90.00 gamma=90.00
Positions (direct):
Sr (0.500, 0.500, 0.500)
Mg (0.000, 0.500, 0.000)
Ir (0.000, 0.000, 0.000)
Cl (0.000, 0.000, 0.500)
Cl (0.500, 0.000, 0.000)

---

Crystalline YMg2IrCl at its relaxed geometry. Source: Alexandria via LeMat-Bulk, functional PBE.

* uncorrected formation energy: -225 kJ/mol of formula units
* total magnetic moment: 0.0 μB/cell
* N(E_F): 0.49 states/eV per atom
* space-group type: P4/mmm, No. 123

Unit cell a=5.053 b=5.291 c=5.053 alpha=90.00 beta=90.00 gamma=90.00
Positions (direct):
Y (0.000, 0.500, 0.000)
Mg (0.000, 0.000, 0.500)
Mg (0.500, 0.000, 0.000)
Ir (0.000, 0.000, 0.000)
Cl (0.500, 0.500, 0.500)

---

Crystalline MgZnIrCl2 at its relaxed geometry. Source: Alexandria via LeMat-Bulk, functional PBE.

* uncorrected formation energy: 258 kJ/mol of formula units
* total magnetic moment: 1.3 μB/cell
* N(E_F): 0.21 states/eV per atom
* space-group type: P4/mmm, No. 123

Unit cell a=4.422 b=8.962 c=4.422 alpha=90.00 beta=90.00 gamma=90.00
Each line ends with the local moment (μB).
Positions (direct):
Zn (0.000, 0.000, 0.000)  0.00
Ir (0.500, 0.500, 0.500)  1.29
Mg (0.000, 0.500, 0.000)  -0.02
Cl (0.000, 0.000, 0.500)  0.00
Cl (0.500, 0.000, 0.000)  0.00

---

Crystalline MnIrCl2 at its relaxed geometry. Source: Alexandria via LeMat-Bulk, functional PBE.

* uncorrected formation energy: 38 kJ/mol of formula units
* total magnetic moment: 5.4 μB/cell
* N(E_F): 0.58 states/eV per atom
* space-group type: Immm, No. 71

Unit cell a=6.757 b=6.757 c=6.757 alpha=150.00 beta=144.39 gamma=47.23
Each line ends with the local moment (μB).
Positions (direct):
Ir (0.750, 0.250, 0.500)  0.70
Mn (0.250, 0.750, 0.500)  4.09
Cl (0.891, 0.891, 0.000)  0.10
Cl (0.609, 0.609, 0.000)  0.10

---

Crystalline Mn4IrCl at its relaxed geometry. Source: Alexandria via LeMat-Bulk, functional PBE.

* uncorrected formation energy: 445 kJ/mol of formula units
* total magnetic moment: 8.5 μB/cell
* N(E_F): 1.45 states/eV per atom
* space-group type: F-43m, No. 216

Unit cell a=4.860 b=4.860 c=4.860 alpha=60.00 beta=60.00 gamma=60.00
Each line ends with the local moment (μB).
Positions (direct):
Mn (0.626, 0.626, 0.123)  1.98
Mn (0.626, 0.123, 0.626)  1.98
Mn (0.626, 0.626, 0.626)  1.98
Mn (0.123, 0.626, 0.626)  1.98
Ir (0.000, 0.000, 0.000)  0.14
Cl (0.250, 0.250, 0.250)  0.12

---

Crystalline MnIr2Cl at its relaxed geometry. Source: Alexandria via LeMat-Bulk, functional PBE.

* uncorrected formation energy: 165 kJ/mol of formula units
* total magnetic moment: 3.4 μB/cell
* N(E_F): 1.18 states/eV per atom
* space-group type: Cmmm, No. 65

Unit cell a=2.827 b=2.827 c=8.858 alpha=90.00 beta=90.00 gamma=120.37
Each line ends with the local moment (μB).
Positions (direct):
Cl (0.500, 0.500, 0.750)  -0.07
Ir (0.000, 0.000, 0.017)  0.09
Ir (0.000, 0.000, 0.483)  0.09
Mn (0.500, 0.500, 0.250)  3.13

---

Crystalline MnIr2Cl at its relaxed geometry. Source: Alexandria via LeMat-Bulk, functional PBE.

* uncorrected formation energy: 137 kJ/mol of formula units
* total magnetic moment: 4.3 μB/cell
* N(E_F): 1.10 states/eV per atom
* space-group type: Immm, No. 71

Unit cell a=6.274 b=6.274 c=6.274 alpha=154.27 beta=141.50 gamma=46.89
Each line ends with the local moment (μB).
Positions (direct):
Cl (0.750, 0.250, 0.500)  0.07
Ir (0.035, 0.035, 0.000)  0.03
Ir (0.465, 0.465, 0.000)  0.03
Mn (0.250, 0.750, 0.500)  3.90

---

Crystalline MnIrCl at its relaxed geometry. Source: Alexandria via LeMat-Bulk, functional PBE.

* uncorrected formation energy: 153 kJ/mol of formula units
* total magnetic moment: 4.2 μB/cell
* N(E_F): 0.81 states/eV per atom
* space-group type: P3m1, No. 156

Unit cell a=4.249 b=4.249 c=3.000 alpha=90.00 beta=90.00 gamma=120.00
Each line ends with the local moment (μB).
Positions (direct):
Cl (0.000, 0.000, 0.155)  0.02
Ir (0.667, 0.333, 0.173)  0.12
Mn (0.333, 0.667, 0.672)  3.91

---

Crystalline MnIrCl at its relaxed geometry. Source: Alexandria via LeMat-Bulk, functional PBE.

* uncorrected formation energy: 25 kJ/mol of formula units
* total magnetic moment: 4.1 μB/cell
* N(E_F): 0.75 states/eV per atom
* space-group type: P3m1, No. 156

Unit cell a=3.062 b=3.062 c=6.438 alpha=90.00 beta=90.00 gamma=120.00
Each line ends with the local moment (μB).
Positions (direct):
Cl (0.000, 0.000, 0.930)  0.05
Ir (0.667, 0.333, 0.400)  0.39
Mn (0.333, 0.667, 0.670)  3.41

---

Crystalline MnIr2Cl at its relaxed geometry. Source: Alexandria via LeMat-Bulk, functional PBE.

* uncorrected formation energy: 133 kJ/mol of formula units
* total magnetic moment: 4.5 μB/cell
* N(E_F): 1.01 states/eV per atom
* space-group type: C2/m, No. 12

Unit cell a=5.432 b=5.432 c=4.292 alpha=84.17 beta=84.17 gamma=30.30
Each line ends with the local moment (μB).
Positions (direct):
Cl (0.250, 0.250, 0.250)  0.08
Ir (0.037, 0.037, 0.979)  0.11
Ir (0.463, 0.463, 0.521)  0.11
Mn (0.750, 0.750, 0.750)  3.92

---

Crystalline MnIrCl2 at its relaxed geometry. Source: Alexandria via LeMat-Bulk, functional PBE.

* uncorrected formation energy: 39 kJ/mol of formula units
* total magnetic moment: 4.3 μB/cell
* N(E_F): 0.51 states/eV per atom
* space-group type: Cm, No. 8

Unit cell a=6.983 b=6.983 c=4.302 alpha=81.85 beta=81.85 gamma=25.74
Each line ends with the local moment (μB).
Positions (direct):
Ir (0.473, 0.473, 0.552)  0.20
Mn (0.836, 0.836, 0.494)  3.75
Cl (0.980, 0.980, 0.024)  0.03
Cl (0.212, 0.212, 0.430)  0.03

---

Crystalline MnIr2Cl at its relaxed geometry. Source: Alexandria via LeMat-Bulk, functional PBE.

* uncorrected formation energy: 284 kJ/mol of formula units
* total magnetic moment: 2.4 μB/cell
* N(E_F): 0.74 states/eV per atom
* space-group type: F-43m, No. 216

Unit cell a=4.428 b=4.428 c=4.428 alpha=120.02 beta=120.02 gamma=89.96
Each line ends with the local moment (μB).
Positions (direct):
Cl (0.750, 0.250, 0.500)  -0.02
Ir (0.000, 0.000, 0.000)  -0.65
Ir (0.250, 0.750, 0.500)  -0.56
Mn (0.500, 0.500, 0.000)  3.51

---

Crystalline MnIrCl2 at its relaxed geometry. Source: Alexandria via LeMat-Bulk, functional PBE.

* uncorrected formation energy: -32 kJ/mol of formula units
* total magnetic moment: 4.5 μB/cell
* N(E_F): 0.77 states/eV per atom
* space-group type: C2/m, No. 12

Unit cell a=7.075 b=7.075 c=4.368 alpha=87.22 beta=87.22 gamma=25.20
Each line ends with the local moment (μB).
Positions (direct):
Ir (0.250, 0.250, 0.250)  0.18
Mn (0.750, 0.750, 0.750)  3.91
Cl (0.112, 0.112, 0.972)  0.05
Cl (0.388, 0.388, 0.528)  0.05

---

Crystalline MnIr2Cl at its relaxed geometry. Source: Alexandria via LeMat-Bulk, functional PBE.

* uncorrected formation energy: 159 kJ/mol of formula units
* total magnetic moment: 2.9 μB/cell
* N(E_F): 0.93 states/eV per atom
* space-group type: P4/mmm, No. 123

Unit cell a=2.913 b=2.913 c=7.176 alpha=90.00 beta=90.00 gamma=90.00
Each line ends with the local moment (μB).
Positions (direct):
Cl (0.500, 0.500, 0.750)  -0.02
Ir (0.000, 0.000, 0.040)  0.11
Ir (0.000, 0.000, 0.460)  0.11
Mn (0.500, 0.500, 0.250)  2.60

---

Crystalline MnIr2Cl at its relaxed geometry. Source: Alexandria via LeMat-Bulk, functional PBE.

* uncorrected formation energy: 306 kJ/mol of formula units
* total magnetic moment: 3.0 μB/cell
* N(E_F): 1.13 states/eV per atom
* space-group type: I4/mmm, No. 139

Unit cell a=4.697 b=4.697 c=4.697 alpha=129.64 beta=129.64 gamma=73.98
Each line ends with the local moment (μB).
Positions (direct):
Cl (0.750, 0.250, 0.500)  -0.05
Ir (0.000, 0.000, 0.000)  -0.29
Ir (0.500, 0.500, 0.000)  -0.29
Mn (0.250, 0.750, 0.500)  3.41

---

Crystalline MnIr2Cl at its relaxed geometry. Source: Alexandria via LeMat-Bulk, functional PBE.

* uncorrected formation energy: 323 kJ/mol of formula units
* total magnetic moment: 4.5 μB/cell
* N(E_F): 0.92 states/eV per atom
* space-group type: P4/mmm, No. 123

Unit cell a=4.541 b=4.541 c=2.903 alpha=90.00 beta=90.00 gamma=90.00
Each line ends with the local moment (μB).
Positions (direct):
Cl (0.000, 0.500, 0.500)  0.06
Ir (0.000, 0.000, 0.000)  0.33
Ir (0.500, 0.500, 0.000)  0.33
Mn (0.500, 0.000, 0.500)  3.57

---

Crystalline MnIr3Cl at its relaxed geometry. Source: Alexandria via LeMat-Bulk, functional PBE.

* uncorrected formation energy: 694 kJ/mol of formula units
* total magnetic moment: 4.7 μB/cell
* N(E_F): 1.14 states/eV per atom
* space-group type: Pm-3m, No. 221

Unit cell a=4.419 b=4.419 c=4.419 alpha=90.00 beta=90.00 gamma=90.00
Each line ends with the local moment (μB).
Positions (direct):
Ir (0.000, 0.500, 0.000)  0.07
Ir (0.000, 0.000, 0.500)  0.04
Ir (0.500, 0.000, 0.000)  0.15
Mn (0.500, 0.500, 0.500)  4.18
Cl (0.000, 0.000, 0.000)  -0.01